DFT (PBEsol) results for crystalline BePS3 at its relaxed geometry.

DOS at the Fermi energy: 0.444 states/eV/atom
calculated total energy: -3.915 eV/atom

Cell: 4.4105 4.4105 4.4105 Å, 90.00 90.00 90.00°
Last column: nearest neighbours and their distance in Å.
Positions (direct):
Be: 0.0000 0.0000 0.0000  12 S 3.12
P: 0.5000 0.5000 0.5000  6 S 2.21
S: 0.0000 0.5000 0.5000  2 P 2.21
S: 0.5000 0.0000 0.5000  2 P 2.21
S: 0.5000 0.5000 0.0000  2 P 2.21